No. 1
Density functional theory data (PBE) for an optimized crystal structure of SrTl3In. Values from VASP.

Properties
Polymorph energy (0 for the lowest one) ... 0.7372 eV/atom
D(E_F) ... 3.6 states/eV/f.u.

```
&SYSTEM
  ibrav = 0, nat = 5, ntyp = 3
/
ATOMIC_SPECIES
Sr 87.62 Sr.upf
Tl 204.38 Tl.upf
In 114.82 In.upf
ATOMIC_POSITIONS crystal
Sr 0.000 0.000 0.000
Tl 0.000 0.000 0.500
Tl 0.000 0.500 0.000
Tl 0.500 0.000 0.000
In 0.500 0.500 0.500
CELL_PARAMETERS angstrom
6.221 0.000 0.000
0.000 6.221 0.000
0.000 0.000 6.221
```

No. 2
Density functional theory data (PBE) for an optimized crystal structure of Sr2TlIn2. Values from VASP.

Properties
Polymorph energy (0 for the lowest one) ... 0.1826 eV/atom
D(E_F) ... 3.4 states/eV/f.u.

```
&SYSTEM
  ibrav = 0, nat = 5, ntyp = 3
/
ATOMIC_SPECIES
Sr 87.62 Sr.upf
Tl 204.38 Tl.upf
In 114.82 In.upf
ATOMIC_POSITIONS crystal
Sr 0.099 0.099 0.000
Sr 0.901 0.901 0.000
Tl 0.500 0.500 0.000
In 0.250 0.750 0.500
In 0.750 0.250 0.500
CELL_PARAMETERS angstrom
-2.111 2.111 10.024
2.111 -2.111 10.024
2.111 2.111 -10.024
```

No. 3
Density functional theory data (PBE) for an optimized crystal structure of Sr2TlIn3. Values from VASP.

Properties
Polymorph energy (0 for the lowest one) ... 0.0000 eV/atom
D(E_F) ... 2.5 states/eV/f.u.

```
&SYSTEM
  ibrav = 0, nat = 6, ntyp = 3
/
ATOMIC_SPECIES
Sr 87.62 Sr.upf
Tl 204.38 Tl.upf
In 114.82 In.upf
ATOMIC_POSITIONS crystal
Sr 0.000 0.000 0.000
Sr 0.087 0.087 0.588
Tl 0.703 0.703 0.011
In 0.377 0.377 0.564
In 0.385 0.385 0.190
In 0.705 0.705 0.405
CELL_PARAMETERS angstrom
6.021 -2.567 0.000
6.021 2.567 0.000
-5.524 0.000 6.028
```

No. 4
Density functional theory data (PBE) for an optimized crystal structure of Sr2TlIn. Values from VASP.

Properties
Calculated total energy ... -2.264 eV per atom
D(E_F) ... 3.2 states/eV/f.u.

```
&SYSTEM
  ibrav = 0, nat = 4, ntyp = 3
/
ATOMIC_SPECIES
Sr 87.62 Sr.upf
Tl 204.38 Tl.upf
In 114.82 In.upf
ATOMIC_POSITIONS crystal
Sr 0.000 0.000 0.000
Sr 0.250 0.250 0.250
Tl 0.750 0.750 0.750
In 0.500 0.500 0.500
CELL_PARAMETERS angstrom
0.000 4.115 4.115
4.115 0.000 4.115
4.115 4.115 0.000
```

No. 5
Density functional theory data (PBE) for an optimized crystal structure of SrTlIn. Values from VASP.

Properties
Calculated total energy ... -2.434 eV per atom
D(E_F) ... 2.2 states/eV/f.u.

```
&SYSTEM
  ibrav = 0, nat = 3, ntyp = 3
/
ATOMIC_SPECIES
Sr 87.62 Sr.upf
Tl 204.38 Tl.upf
In 114.82 In.upf
ATOMIC_POSITIONS crystal
Sr 0.000 0.000 0.000
Tl 0.667 0.333 0.360
In 0.333 0.667 0.639
CELL_PARAMETERS angstrom
4.259 0.000 0.000
-2.130 3.688 0.000
0.000 0.000 6.714
```

No. 6
Density functional theory data (PBE) for an optimized crystal structure of Sr3Tl4In. Values from VASP.

Properties
Polymorph energy (0 for the lowest one) ... 0.0000 eV/atom
D(E_F) ... 3.6 states/eV/f.u.

```
&SYSTEM
  ibrav = 0, nat = 8, ntyp = 3
/
ATOMIC_SPECIES
Sr 87.62 Sr.upf
Tl 204.38 Tl.upf
In 114.82 In.upf
ATOMIC_POSITIONS crystal
Sr 0.000 0.000 0.000
Sr 0.262 0.262 0.000
Sr 0.738 0.738 0.000
Tl 0.117 0.617 0.500
Tl 0.383 0.883 0.500
Tl 0.617 0.117 0.500
Tl 0.883 0.383 0.500
In 0.500 0.500 0.000
CELL_PARAMETERS angstrom
-2.861 2.861 7.893
2.861 -2.861 7.893
2.861 2.861 -7.893
```

No. 7
Density functional theory data (PBE) for an optimized crystal structure of Sr3TlIn. Values from VASP.

Properties
Polymorph energy (0 for the lowest one) ... 0.3865 eV/atom
D(E_F) ... 9.7 states/eV/f.u.

```
&SYSTEM
  ibrav = 0, nat = 5, ntyp = 3
/
ATOMIC_SPECIES
Sr 87.62 Sr.upf
Tl 204.38 Tl.upf
In 114.82 In.upf
ATOMIC_POSITIONS crystal
Sr 0.000 0.000 0.500
Sr 0.000 0.500 0.000
Sr 0.500 0.000 0.000
Tl 0.500 0.500 0.500
In 0.000 0.000 0.000
CELL_PARAMETERS angstrom
6.385 0.000 0.000
0.000 6.385 0.000
0.000 0.000 6.385
```

No. 8
Density functional theory data (PBE) for an optimized crystal structure of Sr6TlIn3. Values from VASP.

Properties
Calculated total energy ... -2.410 eV per atom
D(E_F) ... 6.1 states/eV/f.u.

```
&SYSTEM
  ibrav = 0, nat = 20, ntyp = 3
/
ATOMIC_SPECIES
Sr 87.62 Sr.upf
Tl 204.38 Tl.upf
In 114.82 In.upf
ATOMIC_POSITIONS crystal
Sr 0.021 0.250 0.412
Sr 0.156 0.750 0.170
Sr 0.253 0.250 0.000
Sr 0.344 0.750 0.823
Sr 0.375 0.250 0.348
Sr 0.376 0.250 0.631
Sr 0.624 0.750 0.369
Sr 0.625 0.750 0.652
Sr 0.656 0.250 0.177
Sr 0.747 0.750 0.000
Sr 0.844 0.250 0.830
Sr 0.979 0.750 0.588
Tl 0.447 0.750 0.106
Tl 0.553 0.250 0.894
In 0.034 0.750 0.873
In 0.098 0.250 0.720
In 0.261 0.750 0.468
In 0.739 0.250 0.532
In 0.902 0.750 0.280
In 0.966 0.250 0.127
CELL_PARAMETERS angstrom
10.227 0.000 0.000
0.000 5.826 0.000
-4.672 0.000 12.314
```

No. 9
Density functional theory data (PBE) for an optimized crystal structure of SrTlIn2. Values from VASP.

Properties
Calculated total energy ... -2.595 eV per atom
D(E_F) ... 2.6 states/eV/f.u.

```
&SYSTEM
  ibrav = 0, nat = 4, ntyp = 3
/
ATOMIC_SPECIES
Sr 87.62 Sr.upf
Tl 204.38 Tl.upf
In 114.82 In.upf
ATOMIC_POSITIONS crystal
Sr 0.000 0.000 0.000
Tl 0.000 0.000 0.500
In 0.500 0.500 0.286
In 0.500 0.500 0.714
CELL_PARAMETERS angstrom
3.925 0.000 0.000
0.000 4.129 0.000
0.000 0.000 7.594
```

No. 10
Density functional theory data (PBE) for an optimized crystal structure of SrTlIn2. Values from VASP.

Properties
Calculated total energy ... -2.631 eV per atom
D(E_F) ... 2.2 states/eV/f.u.

```
&SYSTEM
  ibrav = 0, nat = 4, ntyp = 3
/
ATOMIC_SPECIES
Sr 87.62 Sr.upf
Tl 204.38 Tl.upf
In 114.82 In.upf
ATOMIC_POSITIONS crystal
Sr 0.000 0.000 0.000
Tl 0.251 0.751 0.500
In 0.502 0.502 0.000
In 0.750 0.250 0.500
CELL_PARAMETERS angstrom
-2.505 2.521 4.766
2.505 -2.521 4.766
2.505 2.521 -4.766
```

No. 11
Density functional theory data (PBE) for an optimized crystal structure of SrTlIn2. Values from VASP.

Properties
Calculated total energy ... -2.623 eV per atom
D(E_F) ... 2.0 states/eV/f.u.

```
&SYSTEM
  ibrav = 0, nat = 4, ntyp = 3
/
ATOMIC_SPECIES
Sr 87.62 Sr.upf
Tl 204.38 Tl.upf
In 114.82 In.upf
ATOMIC_POSITIONS crystal
Sr 0.000 0.000 0.000
Tl 0.250 0.250 0.250
In 0.500 0.500 0.500
In 0.750 0.750 0.750
CELL_PARAMETERS angstrom
0.000 3.920 3.920
3.920 0.000 3.920
3.920 3.920 0.000
```

No. 12
Density functional theory data (PBE) for an optimized crystal structure of Sr4TlIn. Values from VASP.

Properties
Polymorph energy (0 for the lowest one) ... 0.5556 eV/atom
D(E_F) ... 8.1 states/eV/f.u.

```
&SYSTEM
  ibrav = 0, nat = 6, ntyp = 3
/
ATOMIC_SPECIES
Sr 87.62 Sr.upf
Tl 204.38 Tl.upf
In 114.82 In.upf
ATOMIC_POSITIONS crystal
Sr 0.125 0.125 0.125
Sr 0.125 0.125 0.624
Sr 0.125 0.624 0.125
Sr 0.624 0.125 0.125
Tl 0.750 0.750 0.750
In 0.500 0.500 0.500
CELL_PARAMETERS angstrom
0.000 5.100 5.100
5.100 0.000 5.100
5.100 5.100 0.000
```